Entry 1:
The following is a PBE-GGA calculation of a relaxed structure of ThNi5Ge2Pt, from Alexandria. Values from VASP.

Geometry as Quantum ESPRESSO input:
```
&SYSTEM
  ibrav = 0, nat = 9, ntyp = 4
/
ATOMIC_SPECIES
Th 232.04 Th.upf
Ni 58.69 Ni.upf
Ge 72.64 Ge.upf
Pt 195.08 Pt.upf
CELL_PARAMETERS angstrom
-2.307 -3.109 0.396
1.080 -1.250 -3.524
6.730 -4.528 3.669
ATOMIC_POSITIONS angstrom
Th 3.365 -2.264 1.834
Ni 2.390 -1.870 -0.753
Ni 0.696 -2.799 1.206
Ni 5.420 -3.909 0.899
Ni 3.727 -4.838 2.858
Ni 2.751 -4.443 0.271
Ge 0.268 -2.772 -1.083
Ge 5.235 -6.114 1.624
Pt 0.000 0.000 0.000
```

Summary:
As for the spin magnetization: 0.0 μB/f.u. As for the density of states at the Fermi level: 0.3190 states/eV/atom. The value obtained for the formation energy from the elements is -1.33 eV/f.u. For the total DFT energy (no corrections), the calculation gives -5.882 eV/atom.

=====

Entry 2:
The following is a PBE-GGA calculation of a relaxed structure of Th2Ni3Ge4Pt, from Alexandria. Values from VASP.

Geometry as Quantum ESPRESSO input:
```
&SYSTEM
  ibrav = 0, nat = 10, ntyp = 4
/
ATOMIC_SPECIES
Th 232.04 Th.upf
Ni 58.69 Ni.upf
Ge 72.64 Ge.upf
Pt 195.08 Pt.upf
CELL_PARAMETERS angstrom
4.237 0.000 0.000
0.000 4.237 0.000
0.000 0.000 9.748
ATOMIC_POSITIONS angstrom
Th 2.118 0.000 2.423
Th 0.000 2.118 7.325
Ni 0.000 0.000 4.874
Ni 2.118 0.000 8.597
Ni 0.000 2.118 1.151
Ge 2.118 2.118 0.000
Ge 0.000 0.000 0.000
Ge 2.118 0.000 6.236
Ge 0.000 2.118 3.512
Pt 2.118 2.118 4.874
```

Summary:
As for the spin magnetization: 0.0 μB/f.u. As for the density of states at the Fermi level: 0.5051 states/eV/atom. The value obtained for the formation energy from the elements is -7.82 eV/f.u. For the total DFT energy (no corrections), the calculation gives -6.452 eV/atom.

=====

Entry 3:
The following is a PBE-GGA calculation of a relaxed structure of Th2Ni12Ge3Pt, from Alexandria. Values from VASP.

Geometry as Quantum ESPRESSO input:
```
&SYSTEM
  ibrav = 0, nat = 18, ntyp = 4
/
ATOMIC_SPECIES
Th 232.04 Th.upf
Ni 58.69 Ni.upf
Ge 72.64 Ge.upf
Pt 195.08 Pt.upf
CELL_PARAMETERS angstrom
6.195 -1.383 -0.981
1.857 6.070 -0.981
1.857 1.081 6.053
ATOMIC_POSITIONS angstrom
Th 6.645 3.868 2.744
Th 3.265 1.901 1.348
Ni 4.823 2.808 4.602
Ni 7.026 4.089 0.226
Ni 4.831 5.336 3.785
Ni 6.966 1.591 1.128
Ni 7.026 1.566 3.785
Ni 4.823 5.272 1.128
Ni 5.087 2.961 -0.511
Ni 2.885 1.679 3.865
Ni 5.079 0.433 0.307
Ni 2.944 4.178 2.963
Ni 2.885 4.203 0.307
Ni 5.087 0.497 2.963
Ge 3.098 -0.691 -0.490
Ge 0.929 3.035 -0.490
Ge 0.929 0.541 3.026
Pt 0.000 0.000 0.000
```

Summary:
As for the spin magnetization: 0.0 μB/f.u. As for the density of states at the Fermi level: 0.8563 states/eV/atom. The value obtained for the formation energy from the elements is -1.58 eV/f.u. For the total DFT energy (no corrections), the calculation gives -5.872 eV/atom.

=====

Entry 4:
The following is a PBE-GGA calculation of a relaxed structure of Ti2Ni7Ge2Pt, from Alexandria. Values from VASP.

Geometry as Quantum ESPRESSO input:
```
&SYSTEM
  ibrav = 0, nat = 12, ntyp = 4
/
ATOMIC_SPECIES
Ti 47.87 Ti.upf
Ni 58.69 Ni.upf
Ge 72.64 Ge.upf
Pt 195.08 Pt.upf
CELL_PARAMETERS angstrom
3.560 -0.002 0.005
0.002 3.560 0.005
1.748 1.746 12.500
ATOMIC_POSITIONS angstrom
Ti 3.533 3.529 8.198
Ti 1.777 1.775 4.311
Ni 1.781 1.779 0.005
Ni 1.767 1.765 6.741
Ni 3.543 3.538 5.768
Ni 3.561 1.777 1.920
Ni 1.782 3.559 1.920
Ni 3.528 1.745 10.589
Ni 1.749 3.526 10.589
Ge 3.559 3.555 3.439
Ge 1.751 1.748 9.069
Pt 0.000 0.000 0.000
```

Summary:
As for the spin magnetization: 0.0 μB/f.u. As for the density of states at the Fermi level: 1.1418 states/eV/atom. The value obtained for the formation energy from the elements is -3.01 eV/f.u. For the total DFT energy (no corrections), the calculation gives -6.212 eV/atom.

=====

Entry 5:
The following is a PBE-GGA calculation of a relaxed structure of TlNi2GePt, from Alexandria. Values from VASP.

Geometry as Quantum ESPRESSO input:
```
&SYSTEM
  ibrav = 0, nat = 5, ntyp = 4
/
ATOMIC_SPECIES
Ni 58.69 Ni.upf
Tl 204.38 Tl.upf
Ge 72.64 Ge.upf
Pt 195.08 Pt.upf
CELL_PARAMETERS angstrom
-3.065 1.389 -2.693
2.661 -2.055 -4.089
-2.118 -3.721 0.492
ATOMIC_POSITIONS angstrom
Ni -1.059 -1.861 0.246
Ni -1.533 0.694 -1.346
Tl 1.330 -1.027 -2.044
Ge 0.000 0.000 0.000
Pt -1.261 -2.194 -3.145
```

Summary:
As for the spin magnetization: 0.0 μB/f.u. As for the density of states at the Fermi level: 1.1521 states/eV/atom. The value obtained for the formation energy from the elements is 3.91 eV/f.u. For the total DFT energy (no corrections), the calculation gives -4.135 eV/atom.

=====

Entry 6:
The following is a PBE-GGA calculation of a relaxed structure of Tm2NiGe4Pt3, from Alexandria. Values from VASP.

Geometry as Quantum ESPRESSO input:
```
&SYSTEM
  ibrav = 0, nat = 10, ntyp = 4
/
ATOMIC_SPECIES
Tm 168.93 Tm.upf
Ni 58.69 Ni.upf
Ge 72.64 Ge.upf
Pt 195.08 Pt.upf
CELL_PARAMETERS angstrom
-2.006 -1.925 -2.993
-0.450 -3.271 2.406
-9.334 3.995 3.686
ATOMIC_POSITIONS angstrom
Tm -3.490 0.102 -0.514
Tm -7.072 1.295 3.907
Ni -5.895 -0.601 1.550
Ge -1.228 -2.598 -0.294
Ge 0.000 0.000 0.000
Ge -6.877 1.552 0.824
Ge -3.685 -0.155 2.569
Pt -4.667 1.997 1.843
Pt -8.980 2.451 1.654
Pt -1.582 -1.054 1.739
```

Summary:
As for the spin magnetization: 0.0 μB/f.u. As for the density of states at the Fermi level: 0.7132 states/eV/atom. The value obtained for the formation energy from the elements is -7.98 eV/f.u. For the total DFT energy (no corrections), the calculation gives -5.930 eV/atom.

=====

Entry 7:
The following is a PBE-GGA calculation of a relaxed structure of Tm2Ni4Ge3Pt, from Alexandria. Values from VASP.

Geometry as Quantum ESPRESSO input:
```
&SYSTEM
  ibrav = 0, nat = 10, ntyp = 4
/
ATOMIC_SPECIES
Tm 168.93 Tm.upf
Ni 58.69 Ni.upf
Ge 72.64 Ge.upf
Pt 195.08 Pt.upf
CELL_PARAMETERS angstrom
-2.692 -1.775 -2.310
2.797 -2.456 -1.371
-2.096 -6.568 7.491
ATOMIC_POSITIONS angstrom
Tm -1.872 -2.537 0.726
Tm -0.172 -6.147 4.924
Ni 0.052 -2.116 -1.841
Ni 0.000 0.000 0.000
Ni -2.704 -5.142 3.697
Ni 0.660 -3.542 1.953
Ge -1.048 -3.284 3.745
Ge -3.175 -6.620 5.382
Ge 1.132 -2.064 0.268
Pt -0.996 -5.400 1.905
```

Summary:
As for the spin magnetization: 0.0 μB/f.u. As for the density of states at the Fermi level: 0.8674 states/eV/atom. The value obtained for the formation energy from the elements is -6.47 eV/f.u. For the total DFT energy (no corrections), the calculation gives -5.843 eV/atom.

=====

Entry 8:
The following is a PBE-GGA calculation of a relaxed structure of Tm2NiGe3Pt4, from Alexandria. Values from VASP.

Geometry as Quantum ESPRESSO input:
```
&SYSTEM
  ibrav = 0, nat = 10, ntyp = 4
/
ATOMIC_SPECIES
Tm 168.93 Tm.upf
Ni 58.69 Ni.upf
Ge 72.64 Ge.upf
Pt 195.08 Pt.upf
CELL_PARAMETERS angstrom
4.062 0.000 0.000
0.000 4.062 0.000
0.000 0.000 10.896
ATOMIC_POSITIONS angstrom
Tm 2.031 0.000 2.861
Tm 0.000 2.031 8.034
Ni 2.031 2.031 5.448
Ge 0.000 0.000 5.448
Ge 2.031 0.000 9.376
Ge 0.000 2.031 1.520
Pt 2.031 2.031 0.000
Pt 0.000 0.000 0.000
Pt 2.031 0.000 6.979
Pt 0.000 2.031 3.916
```

Summary:
As for the spin magnetization: 0.0 μB/f.u. As for the density of states at the Fermi level: 0.7336 states/eV/atom. The value obtained for the formation energy from the elements is -7.95 eV/f.u. For the total DFT energy (no corrections), the calculation gives -6.069 eV/atom.

=====

Entry 9:
The following is a PBE-GGA calculation of a relaxed structure of Tm2Ni3Ge4Pt, from Alexandria. Values from VASP.

Geometry as Quantum ESPRESSO input:
```
&SYSTEM
  ibrav = 0, nat = 10, ntyp = 4
/
ATOMIC_SPECIES
Tm 168.93 Tm.upf
Ni 58.69 Ni.upf
Ge 72.64 Ge.upf
Pt 195.08 Pt.upf
CELL_PARAMETERS angstrom
-1.558 3.700 0.771
-1.182 0.315 -3.901
-8.630 -4.109 2.282
ATOMIC_POSITIONS angstrom
Tm -2.901 0.840 0.947
Tm -7.099 -2.941 -0.230
Ni -4.315 -2.055 1.141
Ni -8.347 -1.753 2.387
Ni -1.653 -0.348 -1.670
Ge -1.370 2.008 -1.565
Ge 0.000 0.000 0.000
Ge -6.332 -0.794 1.854
Ge -3.668 -1.308 -1.137
Pt -5.685 -0.047 -0.424
```

Summary:
As for the spin magnetization: 0.0 μB/f.u. As for the density of states at the Fermi level: 0.6879 states/eV/atom. The value obtained for the formation energy from the elements is -7.14 eV/f.u. For the total DFT energy (no corrections), the calculation gives -5.793 eV/atom.

=====

Entry 10:
The following is a PBE-GGA calculation of a relaxed structure of U2Ni4Ge3Pt, from Alexandria. Values from VASP.

Geometry as Quantum ESPRESSO input:
```
&SYSTEM
  ibrav = 0, nat = 10, ntyp = 4
/
ATOMIC_SPECIES
U 238.03 U.upf
Ni 58.69 Ni.upf
Ge 72.64 Ge.upf
Pt 195.08 Pt.upf
CELL_PARAMETERS angstrom
3.860 0.000 0.000
0.000 3.860 0.000
0.000 0.000 10.749
ATOMIC_POSITIONS angstrom
U 1.930 0.000 2.738
U 0.000 1.930 8.010
Ni 1.930 1.930 0.000
Ni 0.000 0.000 0.000
Ni 1.930 0.000 7.080
Ni 0.000 1.930 3.669
Ge 0.000 0.000 5.374
Ge 1.930 0.000 9.402
Ge 0.000 1.930 1.347
Pt 1.930 1.930 5.374
```

Summary:
As for the spin magnetization: 3.8 μB/f.u. As for the density of states at the Fermi level: 1.6488 states/eV/atom. The value obtained for the formation energy from the elements is -4.02 eV/f.u. For the total DFT energy (no corrections), the calculation gives -6.961 eV/atom.

=====

Entry 11:
The following is a PBE-GGA calculation of a relaxed structure of U2NiGe3Pt4, from Alexandria. Values from VASP.

Geometry as Quantum ESPRESSO input:
```
&SYSTEM
  ibrav = 0, nat = 10, ntyp = 4
/
ATOMIC_SPECIES
U 238.03 U.upf
Ni 58.69 Ni.upf
Ge 72.64 Ge.upf
Pt 195.08 Pt.upf
CELL_PARAMETERS angstrom
-3.519 1.469 -1.356
0.725 -1.622 -3.636
-5.118 -9.350 3.151
ATOMIC_POSITIONS angstrom
U -3.090 -1.696 0.141
U -3.425 -7.731 0.514
Ni -3.956 -4.752 -0.921
Ge -2.559 -4.675 1.576
Ge -6.180 -7.341 2.043
Ge -0.336 -2.086 -1.388
Pt -1.397 -0.077 -2.496
Pt 0.000 0.000 0.000
Pt -5.061 -5.297 1.355
Pt -1.454 -4.130 -0.700
```

Summary:
As for the spin magnetization: 4.8 μB/f.u. As for the density of states at the Fermi level: 1.7284 states/eV/atom. The value obtained for the formation energy from the elements is -4.99 eV/f.u. For the total DFT energy (no corrections), the calculation gives -7.136 eV/atom.

=====

Entry 12:
The following is a PBE-GGA calculation of a relaxed structure of VNi7Ge2Pt2, from Alexandria. Values from VASP.

Geometry as Quantum ESPRESSO input:
```
&SYSTEM
  ibrav = 0, nat = 12, ntyp = 4
/
ATOMIC_SPECIES
V 50.94 V.upf
Ni 58.69 Ni.upf
Ge 72.64 Ge.upf
Pt 195.08 Pt.upf
CELL_PARAMETERS angstrom
-1.137 -0.726 3.374
1.506 -3.302 -0.174
10.361 0.306 7.496
ATOMIC_POSITIONS angstrom
V 0.000 0.000 0.000
Ni 0.185 -2.014 1.600
Ni 5.272 -0.842 4.539
Ni 5.459 -2.879 6.157
Ni 1.059 -1.752 3.907
Ni 2.380 -3.039 2.134
Ni 8.350 -0.682 8.562
Ni 9.671 -1.969 6.789
Ge 3.613 -2.621 4.595
Ge 7.118 -1.100 6.102
Pt 7.463 -3.045 7.771
Pt 3.268 -0.676 2.926
```

Summary:
As for the spin magnetization: 0.0 μB/f.u. As for the density of states at the Fermi level: 0.7255 states/eV/atom. The value obtained for the formation energy from the elements is -1.97 eV/f.u. For the total DFT energy (no corrections), the calculation gives -6.073 eV/atom.